GdDy3Y2FeTe2: optimized geometry, PBE-GGA.

Crystal system = orthorhombic
Magnetization = 0.346 μB per cell
VASP energy = -5.739 eV per atom
Space-group type = Amm2

Cell: 3.980 8.344 8.344 Å, 119.95 90.00 90.00°
Positions (direct):
Gd: 0.000 0.000 0.000
Dy: 0.500 0.168 0.401
Dy: 0.500 0.401 0.168
Dy: 0.500 0.639 0.639
Y: 0.000 0.403 0.801
Y: 0.000 0.801 0.403
Fe: 0.000 0.407 0.407
Te: 0.500 0.070 0.734
Te: 0.500 0.734 0.070

***

GdDyTlFe2: optimized geometry, PBE-GGA.

Crystal system = orthorhombic
Magnetization = 1.513 μB per cell
VASP energy = -5.793 eV per atom
Space-group type = Amm2

Cell: 3.993 7.190 7.190 Å, 30.64 90.00 90.00°
Positions (direct):
Gd: 0.000 0.000 0.000
Dy: 0.000 0.277 0.277
Tl: 0.500 0.639 0.639
Fe: 0.500 0.427 0.427
Fe: 0.500 0.848 0.848

***

Dy2Fe3Ge5: optimized geometry, PBE-GGA.

Crystal system = orthorhombic
Magnetization = 0.003 μB per cell
VASP energy = -6.205 eV per atom
Space-group type = Ibam

Cell: 8.200 8.200 8.200 Å, 108.66 85.08 139.98°
Positions (direct):
Dy: 0.142 0.230 0.373
Dy: 0.358 0.730 0.088
Dy: 0.642 0.270 0.912
Dy: 0.858 0.770 0.627
Fe: 0.146 0.910 0.056
Fe: 0.250 0.750 0.500
Fe: 0.354 0.410 0.764
Fe: 0.646 0.590 0.236
Fe: 0.750 0.250 0.500
Fe: 0.854 0.090 0.944
Ge: 0.040 0.750 0.290
Ge: 0.086 0.677 0.763
Ge: 0.250 0.250 0.000
Ge: 0.414 0.177 0.591
Ge: 0.460 0.750 0.710
Ge: 0.540 0.250 0.290
Ge: 0.586 0.823 0.409
Ge: 0.750 0.750 0.000
Ge: 0.914 0.323 0.237
Ge: 0.960 0.250 0.710

***

Dy2Fe3Ge5: optimized geometry, PBE-GGA.

Crystal system = orthorhombic
Magnetization = 0.007 μB per cell
VASP energy = -6.204 eV per atom
Space-group type = Ibam

Cell: 8.196 8.196 8.196 Å, 108.65 85.12 139.93°
Positions (direct):
Dy: 0.141 0.231 0.372
Dy: 0.359 0.731 0.089
Dy: 0.641 0.269 0.911
Dy: 0.859 0.769 0.628
Fe: 0.146 0.910 0.057
Fe: 0.250 0.750 0.500
Fe: 0.354 0.410 0.764
Fe: 0.646 0.590 0.236
Fe: 0.750 0.250 0.500
Fe: 0.854 0.090 0.943
Ge: 0.040 0.750 0.290
Ge: 0.087 0.677 0.764
Ge: 0.250 0.250 0.000
Ge: 0.413 0.177 0.591
Ge: 0.460 0.750 0.710
Ge: 0.540 0.250 0.290
Ge: 0.587 0.823 0.409
Ge: 0.750 0.750 0.000
Ge: 0.913 0.323 0.236
Ge: 0.960 0.250 0.710

***

DyFe6Ge6: optimized geometry, PBE-GGA.

Crystal system = orthorhombic
Magnetization = 22.908 μB per cell
VASP energy = -6.606 eV per atom
Space-group type = Cmcm

Cell: 9.739 9.739 5.113 Å, 90.00 90.00 130.47°
Positions (direct):
Dy: 0.127 0.873 0.750
Dy: 0.873 0.127 0.250
Fe: 0.000 0.500 0.000
Fe: 0.000 0.500 0.500
Fe: 0.125 0.375 0.750
Fe: 0.250 0.250 0.000
Fe: 0.250 0.250 0.500
Fe: 0.375 0.125 0.250
Fe: 0.500 0.000 0.000
Fe: 0.500 0.000 0.500
Fe: 0.625 0.875 0.750
Fe: 0.750 0.750 0.000
Fe: 0.750 0.750 0.500
Fe: 0.875 0.625 0.250
Ge: 0.042 0.958 0.250
Ge: 0.211 0.789 0.250
Ge: 0.222 0.471 0.250
Ge: 0.295 0.705 0.750
Ge: 0.459 0.541 0.750
Ge: 0.471 0.222 0.750
Ge: 0.529 0.778 0.250
Ge: 0.541 0.459 0.250
Ge: 0.705 0.295 0.250
Ge: 0.778 0.529 0.750
Ge: 0.789 0.211 0.750
Ge: 0.958 0.042 0.750

***

DyHoFe2Ge2: optimized geometry, PBE-GGA.

Crystal system = tetragonal
Magnetization = 0.329 μB per cell
VASP energy = -6.372 eV per atom
Space-group type = P4mm

Cell: 4.096 4.096 6.515 Å, 90.00 90.00 90.00°
Positions (direct):
Dy: 0.000 0.000 0.000
Ho: 0.500 0.500 0.378
Fe: 0.000 0.500 0.688
Fe: 0.500 0.000 0.688
Ge: 0.000 0.000 0.490
Ge: 0.500 0.500 0.885

***

Dy2Ho2InFe2Ge4: optimized geometry, PBE-GGA.

Crystal system = monoclinic
Magnetization = 0.033 μB per cell
VASP energy = -5.771 eV per atom
Space-group type = C2/m

Cell: 8.025 8.025 6.980 Å, 106.63 106.63 30.47°
Positions (direct):
Dy: 0.091 0.091 0.389
Dy: 0.909 0.909 0.611
Ho: 0.154 0.154 0.940
Ho: 0.846 0.846 0.060
In: 0.500 0.500 0.000
Fe: 0.280 0.280 0.370
Fe: 0.720 0.720 0.630
Ge: 0.292 0.292 0.725
Ge: 0.431 0.431 0.341
Ge: 0.569 0.569 0.659
Ge: 0.708 0.708 0.275

***

Dy2Tm2InFe2Ge4: optimized geometry, PBE-GGA.

Crystal system = monoclinic
Magnetization = 0.013 μB per cell
VASP energy = -5.748 eV per atom
Space-group type = C2/m

Cell: 8.006 8.006 6.940 Å, 106.81 106.81 30.50°
Positions (direct):
Dy: 0.091 0.091 0.388
Dy: 0.909 0.909 0.612
Tm: 0.154 0.154 0.940
Tm: 0.846 0.846 0.060
In: 0.500 0.500 0.000
Fe: 0.279 0.279 0.368
Fe: 0.721 0.721 0.632
Ge: 0.292 0.292 0.727
Ge: 0.431 0.431 0.339
Ge: 0.569 0.569 0.661
Ge: 0.708 0.708 0.273

***

Dy2Fe2SiGeN: optimized geometry, PBE-GGA.

Crystal system = monoclinic
Magnetization = 0.031 μB per cell
VASP energy = -7.133 eV per atom
Space-group type = Cm

Cell: 5.621 5.621 6.764 Å, 125.45 125.45 40.05°
Positions (direct):
Dy: 0.000 0.000 0.000
Dy: 0.118 0.118 0.576
Fe: 0.359 0.359 0.193
Fe: 0.752 0.752 0.366
Si: 0.721 0.721 0.996
Ge: 0.403 0.403 0.590
N: 0.557 0.557 0.285

***

DyTmFe2Ge2N: optimized geometry, PBE-GGA.

Crystal system = monoclinic
Magnetization = 0.014 μB per cell
VASP energy = -6.951 eV per atom
Space-group type = Cm

Cell: 5.624 5.624 6.751 Å, 124.73 124.73 40.03°
Positions (direct):
Dy: 0.000 0.000 0.000
Tm: 0.885 0.885 0.430
Fe: 0.248 0.248 0.630
Fe: 0.636 0.636 0.797
Ge: 0.283 0.283 0.017
Ge: 0.603 0.603 0.413
N: 0.441 0.441 0.710

***

NdDyFe2Ge2: optimized geometry, PBE-GGA.

Crystal system = tetragonal
Magnetization = 0.385 μB per cell
VASP energy = -6.371 eV per atom
Space-group type = P4mm

Cell: 4.128 4.128 6.682 Å, 90.00 90.00 90.00°
Positions (direct):
Nd: 0.000 0.000 0.000
Dy: 0.500 0.500 0.620
Fe: 0.000 0.500 0.323
Fe: 0.500 0.000 0.323
Ge: 0.000 0.000 0.511
Ge: 0.500 0.500 0.135

***

NdDyFe2Ge4: optimized geometry, PBE-GGA.

Crystal system = orthorhombic
Magnetization = 1.509 μB per cell
VASP energy = -6.040 eV per atom
Space-group type = Amm2

Cell: 4.227 8.576 8.576 Å, 28.46 90.00 90.00°
Positions (direct):
Nd: 0.000 0.000 0.000
Dy: 0.500 0.782 0.782
Fe: 0.000 0.210 0.210
Fe: 0.500 0.576 0.576
Ge: 0.000 0.346 0.346
Ge: 0.000 0.644 0.644
Ge: 0.500 0.144 0.144
Ge: 0.500 0.437 0.437

***

In the order shown, the computed V values come out to 240.09, 105.18, 324.28, 324.03, 368.92, 109.33, 217.70, 215.39, 108.19, 109.20, 113.88, 148.18 Å³/cell.